# YInIr GGA-PBE relaxed
data_YInIr
_chemical_formula_sum 'Y1 In1 Ir1'
_symmetry_space_group_name_H-M 'P -6 m 2'
_symmetry_Int_Tables_number 187
_symmetry_space_group_name_Hall 'P -6 2'
_cell_length_a 4.7067
_cell_length_b 4.7067
_cell_length_c 3.3648
_cell_angle_alpha 90.00
_cell_angle_beta 90.00
_cell_angle_gamma 120.00
loop_
_atom_site_label
_atom_site_type_symbol
_atom_site_fract_x
_atom_site_fract_y
_atom_site_fract_z
Y1 Y 0.0000 0.0000 0.0000
In1 In 0.6667 0.3333 0.5000
Ir1 Ir 0.3333 0.6667 0.5000
# density of states at the Fermi level: 1.81 states/eV/cell
# energy of formation: -0.483 eV per atom
# calculated density: 10.2 g/cm3